# 1
Computed, not measured: an optimized crystal structure of Pr3Ir2Rh7 at the GGA-PBE level of DFT.

a = 5.3623 Å, b = 5.3623 Å, c = 9.4125 Å
α = 73.45°, β = 73.45°, γ = 60.00°
Atoms (fractional coordinates):
Rh (0.5798, 0.5798, 0.7578)
Rh (0.0827, 0.5798, 0.7578)
Ir (0.6675, 0.6675, 0.9975)
Rh (0.5798, 0.0827, 0.7578)
Rh (0.4202, 0.4202, 0.2422)
Rh (0.4202, 0.9173, 0.2422)
Pr (0.1388, 0.1388, 0.5836)
Rh (0.5000, 0.5000, 0.5000)
Pr (0.8612, 0.8612, 0.4164)
Ir (0.3325, 0.3325, 0.0025)
Rh (0.9173, 0.4202, 0.2422)
Pr (0.0000, 0.0000, 0.0000)

Symmetry ... R-3m (166)

---

# 2
Computed, not measured: an optimized crystal structure of PrIr2Rh3 at the GGA-PBE level of DFT.

a = 4.3403 Å, b = 5.3295 Å, c = 5.3300 Å
α = 120.00°, β = 90.00°, γ = 90.00°
Atoms (fractional coordinates):
Ir (0.0000, 0.6680, 0.3335)
Rh (0.5000, 0.5013, 0.0000)
Pr (0.0000, 0.0012, 0.0000)
Rh (0.5000, 0.5013, 0.5000)
Ir (0.0000, 0.3345, 0.6665)
Rh (0.5000, 0.0012, 0.5000)

Symmetry ... P6/mmm (191)
Relative energy among the computed polymorphs ... 0.0 kJ per mole of atoms

---

# 3
Computed, not measured: an optimized crystal structure of Pr3Ir8Rh at the GGA-PBE level of DFT.

a = 5.4110 Å, b = 5.4110 Å, c = 9.3527 Å
α = 73.19°, β = 73.19°, γ = 60.00°
Atoms (fractional coordinates):
Ir (0.3103, 0.3103, 0.0690)
Ir (0.5603, 0.5603, 0.8140)
Ir (0.0577, 0.0577, 0.3237)
Ir (0.5603, 0.0653, 0.8140)
Pr (0.4933, 0.4933, 0.5200)
Pr (0.0096, 0.0096, 0.9712)
Ir (0.0653, 0.5603, 0.8140)
Ir (0.8083, 0.8083, 0.5751)
Ir (0.5610, 0.0577, 0.3237)
Rh (0.1430, 0.1430, 0.5709)
Ir (0.0577, 0.5610, 0.3237)
Pr (0.6232, 0.6232, 0.1304)

Symmetry ... R3m (160)

---

# 4
Computed, not measured: an optimized crystal structure of Pr2IrRh at the GGA-PBE level of DFT.

a = 4.1586 Å, b = 4.1586 Å, c = 7.1608 Å
α = 73.12°, β = 73.12°, γ = 60.00°
Atoms (fractional coordinates):
Ir (0.5000, 0.5000, 0.5000)
Pr (0.2490, 0.2490, 0.2531)
Rh (0.0000, 0.0000, 0.0000)
Pr (0.7510, 0.7510, 0.7469)

Symmetry ... R-3m (166)

---

no.,energy of formation (eV/atom),volume (Å³/atom),ρ (g/cm3)
1,-0.455,18.45,11.46
2,-0.215,17.80,12.97
3,-0.390,18.63,15.33
4,-0.395,25.26,9.48